# 1
# PmTh2Zn6

An optimized crystal structure of PmTh2Zn6 (PBE, the Alexandria database).

Output
- VASP energy: -29.928 eV per cell
- Fermi-level density of states: 1.05 states/eV per atom
- V: 21.51 A^3/atom

Cell: 7.9460 7.9460 3.5409 Å, 90.00 90.00 120.00°
Space group P6/mmm (No. 191)
Asymmetric unit:
Pm  0.0000  0.0000  0.0000 [1 per cell]
Th  0.3333  0.6667  0.0000 [2 per cell]
Zn  0.0000  0.3322  0.5000 [6 per cell]

***

# 2
# AlCo3Te

An optimized crystal structure of AlCo3Te (PBE, the Alexandria database).

Output
- VASP energy: -24.121 eV per cell
- Fermi-level density of states: 1.49 states/eV per atom
- Relative energy among the computed polymorphs: 0 meV per atom
- V: 16.47 A^3/atom
- Raw formation energy: 0.8162 eV/atom

Cell: 4.351 4.351 4.351 Å, 90.00 90.00 90.00°
Space group Pm-3m (No. 221)
Asymmetric unit:
Al  0.000  0.000  0.000 [1 per cell]
Co  0.000  0.000  0.500 [3 per cell]
Te  0.500  0.500  0.500 [1 per cell]

***

# 3
# MgGa6Pd12

An optimized crystal structure of MgGa6Pd12 (PBE, the Alexandria database).

Output
- VASP energy: -270.035 eV per cell
- Fermi-level density of states: 0.26 states/eV per atom
- V: 17.92 A^3/atom

Cell: 10.9250 10.9250 9.8802 Å, 90.00 90.00 120.00°
Space group R-3 (No. 148, hexagonal axes)
Asymmetric unit:
Mg  0.0000  0.0000  0.0000 [3 per cell]
Ga  0.0459  0.8349  0.6815 [18 per cell]
Pd  0.0468  0.7953  0.9295 [18 per cell]
Pd  0.0583  0.8125  0.4246 [18 per cell]

***

# 4
# Li2AgI

An optimized crystal structure of Li2AgI (PBE, the Alexandria database).

Output
- VASP energy: -39.292 eV per cell
- Fermi-level density of states: 0.00 states/eV per atom
- Relative energy among the computed polymorphs: 70 meV per atom
- V: 31.01 A^3/atom
- Raw formation energy: -0.3985 eV/atom

Cell: 6.431 6.431 11.996 Å, 90.00 90.00 90.00°
Space group I-42d (No. 122)
Asymmetric unit:
Li  0.247  0.250  0.125 [8 per cell]
Ag  0.000  0.000  0.000 [4 per cell]
I  0.000  0.000  0.500 [4 per cell]

***

# 5
# AcThOsBr

An optimized crystal structure of AcThOsBr (PBE, the Alexandria database).

Output
- VASP energy: -82.725 eV per cell
- Fermi-level density of states: 0.36 states/eV per atom
- V: 31.78 A^3/atom
- Raw formation energy: -0.7860 eV/atom

Cell: 4.2278 4.2278 24.6347 Å, 90.00 90.00 120.00°
Space group R3m (No. 160, hexagonal axes)
Asymmetric unit:
Ac  0.0000  0.0000  0.0000 [3 per cell]
Th  0.0000  0.0000  0.2074 [3 per cell]
Os  0.0000  0.0000  0.5954 [3 per cell]
Br  0.0000  0.0000  0.7746 [3 per cell]

***

# 6
# CsKB2I8

An optimized crystal structure of CsKB2I8 (PBE, the Alexandria database).

Output
- VASP energy: -102.721 eV per cell
- Fermi-level density of states: 0.00 states/eV per atom
- V: 44.79 A^3/atom
- Raw formation energy: -0.5444 eV/atom

Cell: 7.4564 7.4564 33.4892 Å, 90.00 90.00 120.00°
Space group R-3 (No. 148, hexagonal axes)
Asymmetric unit:
Cs  0.0000  0.0000  0.0000 [3 per cell]
K  0.0000  0.0000  0.5000 [3 per cell]
B  0.0000  0.0000  0.2543 [6 per cell]
I  0.0000  0.0000  0.3217 [6 per cell]
I  0.0220  0.4118  0.4343 [18 per cell]

***

# 7
# SrCu2Au

An optimized crystal structure of SrCu2Au (PBE, the Alexandria database).

Output
- VASP energy: -13.238 eV per cell
- Fermi-level density of states: 0.37 states/eV per atom
- Relative energy among the computed polymorphs: 237 meV per atom
- V: 20.12 A^3/atom

Cell: 3.537 3.537 6.433 Å, 90.00 90.00 90.00°
Space group P4/mmm (No. 123)
Asymmetric unit:
Sr  0.000  0.000  0.000 [1 per cell]
Cu  0.500  0.500  0.313 [2 per cell]
Au  0.000  0.000  0.500 [1 per cell]

***

# 8
# CsRb2Mg

An optimized crystal structure of CsRb2Mg (PBE, the Alexandria database).

Output
- VASP energy: -13.751 eV per cell
- Fermi-level density of states: 1.06 states/eV per atom
- V: 75.04 A^3/atom

Cell: 6.240 6.240 30.831 Å, 90.00 90.00 90.00°
Space group I-42d (No. 122)
Asymmetric unit:
Cs  0.000  0.000  0.000 [4 per cell]
Rb  0.224  0.250  0.625 [8 per cell]
Mg  0.000  0.000  0.500 [4 per cell]

***

# 9
# RbLi2Pd

An optimized crystal structure of RbLi2Pd (PBE, the Alexandria database).

Output
- VASP energy: -30.999 eV per cell
- Fermi-level density of states: 0.38 states/eV per atom
- V: 27.34 A^3/atom

Cell: 4.4913 4.4913 18.7808 Å, 90.00 90.00 120.00°
Space group R-3m (No. 166, hexagonal axes)
Asymmetric unit:
Rb  0.0000  0.0000  0.0000 [3 per cell]
Li  0.0000  0.0000  0.1913 [6 per cell]
Pd  0.0000  0.0000  0.5000 [3 per cell]

***

# 10
# HoAgCl4

An optimized crystal structure of HoAgCl4 (PBE, the Alexandria database).

Output
- VASP energy: -24.706 eV per cell
- Fermi-level density of states: 0.00 states/eV per atom
- V: 31.14 A^3/atom
- Raw formation energy: -1.6485 eV/atom

Cell: 6.523 3.978 7.277 Å, 90.00 98.33 90.00°
Space group P2/m (No. 10)
Asymmetric unit:
Ho  0.000  0.000  0.000 [1 per cell]
Ag  0.000  0.500  0.500 [1 per cell]
Cl  0.193  0.000  0.708 [2 per cell]
Cl  0.243  0.500  0.148 [2 per cell]

***

# 11
# Ho6Th2Mg

An optimized crystal structure of Ho6Th2Mg (PBE, the Alexandria database).

Output
- VASP energy: -43.125 eV per cell
- Fermi-level density of states: 1.72 states/eV per atom
- V: 31.07 A^3/atom

Cell: 3.5170 3.5170 26.1004 Å, 90.00 90.00 120.00°
Space group P-6m2 (No. 187)
Asymmetric unit:
Ho  0.0000  0.0000  0.0640 [2 per cell]
Ho  0.0000  0.0000  0.2865 [2 per cell]
Ho  0.3333  0.6667  0.3943 [2 per cell]
Th  0.3333  0.6667  0.1726 [2 per cell]
Mg  0.0000  0.0000  0.5000 [1 per cell]

***

# 12
# CeNd3Ho3Te8

An optimized crystal structure of CeNd3Ho3Te8 (PBE, the Alexandria database).

Output
- VASP energy: -239.633 eV per cell
- Fermi-level density of states: 0.96 states/eV per atom
- V: 32.32 A^3/atom
- Raw formation energy: -1.3849 eV/atom

Cell: 8.8171 8.8171 21.6005 Å, 90.00 90.00 120.00°
Space group R-3m (No. 166, hexagonal axes)
Asymmetric unit:
Ce  0.0000  0.0000  0.0000 [3 per cell]
Nd  0.0000  0.5000  0.5000 [9 per cell]
Ho  0.0000  0.5000  0.0000 [9 per cell]
Te  0.0000  0.0000  0.2543 [6 per cell]
Te  0.0177  0.5088  0.2500 [18 per cell]